# PBE-GGA NdEr2Tm, optimized geometry
data_NdEr2Tm
_chemical_formula_sum 'Nd3 Er6 Tm3'
_cell_length_a 3.5487
_cell_length_b 3.5487
_cell_length_c 34.6065
_cell_angle_alpha 90.00
_cell_angle_beta 90.00
_cell_angle_gamma 120.00
_space_group_name_H-M_alt 'R -3 m'
_space_group_IT_number 166
_space_group_name_Hall '-R 3 2"'
loop_
_atom_site_label
_atom_site_fract_x
_atom_site_fract_y
_atom_site_fract_z
_atom_site_occupancy
Nd1 0.0000 0.0000 0.0000 1
Er1 0.0000 0.0000 0.2482 1
Tm1 0.0000 0.0000 0.5000 1
# E above lowest polymorph	0.41	kcal/mol of atoms
# energy relative to the elements	0.026	eV/atom
# ρ	8.549	g/cm³